[1]
Material: RbCoGe3
Method: DFT, PBE
State: relaxed

```
RbCoGe3
1.0
4.797 0.000 0.000
0.000 4.797 0.000
0.000 0.000 4.797
Co Ge Rb
1 3 1
Direct
0.000 0.000 0.000 Co
0.000 0.000 0.500 Ge
0.000 0.500 0.000 Ge
0.500 0.000 0.000 Ge
0.500 0.500 0.500 Rb
```

Summary:
energy relative to the elements: 0.260 eV/atom
DOS(E_F): 4.757 states/eV/cell

[2]
Material: PmScZnRu
Method: DFT, PBE
State: relaxed

```
PmScZnRu
1.0
-4.168 2.108 -1.310
-1.461 -0.179 -4.622
-3.815 -2.729 -1.234
Zn Pm Sc Ru
1 1 1 1
Direct
0.250 0.250 0.250 Zn
0.000 0.000 0.000 Pm
0.500 0.500 0.500 Sc
0.750 0.750 0.750 Ru
```

Summary:
energy relative to the elements: -0.303 eV/atom
DOS(E_F): 3.495 states/eV/cell

[3]
Material: Hf2MnGa
Method: DFT, PBE
State: relaxed

```
Hf2MnGa
1.0
3.243 0.000 0.000
0.000 3.243 0.000
0.000 0.000 6.494
Mn Ga Hf
1 1 2
Direct
0.500 0.500 0.000 Mn
0.500 0.500 0.500 Ga
0.000 0.000 0.768 Hf
0.000 0.000 0.232 Hf
```

Summary:
energy relative to the elements: -0.326 eV/atom
DOS(E_F): 1.319 states/eV/cell

[4]
Material: CsLiHg2Sb
Method: DFT, PBE
State: relaxed

```
CsLiHg2Sb
1.0
5.645 0.000 0.000
0.000 5.645 0.000
0.000 0.000 5.302
Sb Cs Hg Li
1 1 2 1
Direct
0.000 0.000 0.500 Sb
0.500 0.500 0.500 Cs
0.500 0.000 0.000 Hg
0.000 0.500 0.000 Hg
0.000 0.000 0.000 Li
```

Summary:
energy above the lowest structure with this stoichiometry: 5 meV/atom
ΔE_f (raw): -192 meV/atom
DOS(E_F): 4.061 states/eV/cell

[5]
Material: HoSc2B6
Method: DFT, PBE
State: relaxed

```
HoSc2B6
1.0
-1.523 2.368 -1.812
2.283 -0.303 -5.409
-4.393 -2.653 -2.867
B Sc Ho
6 2 1
Direct
0.806 0.961 0.426 B
0.194 0.039 0.574 B
0.000 0.878 0.122 B
0.194 0.574 0.039 B
0.806 0.426 0.961 B
0.000 0.122 0.878 B
0.333 0.167 0.167 Sc
0.667 0.833 0.833 Sc
0.500 0.500 0.500 Ho
```

Summary:
energy above the lowest structure with this stoichiometry: 411 meV/atom
energy relative to the elements: -0.324 eV/atom
DOS(E_F): 2.925 states/eV/cell

[6]
Material: Sr3PmPt8
Method: DFT, PBE
State: relaxed

```
Sr3PmPt8
1.0
-4.869 2.550 -0.840
-3.860 -2.370 -3.225
-6.362 -4.151 5.871
Pt Pm Sr
8 1 3
Direct
0.437 0.437 0.193 Pt
0.188 0.188 0.437 Pt
0.687 0.687 0.938 Pt
0.933 0.437 0.193 Pt
0.442 0.938 0.683 Pt
0.437 0.933 0.193 Pt
0.938 0.938 0.683 Pt
0.938 0.442 0.683 Pt
0.876 0.876 0.373 Pm
0.498 0.498 0.505 Sr
0.374 0.374 0.877 Sr
0.001 0.001 0.996 Sr
```

Summary:
energy relative to the elements: -0.915 eV/atom
DOS(E_F): 9.923 states/eV/cell

[7]
Material: Na3Ac3CdO8
Method: DFT, PBE
State: relaxed

```
Na3Ac3CdO8
1.0
-0.079 -3.983 6.316
-5.235 -1.143 -5.201
6.725 -1.754 -1.022
Ac O Cd Na
3 8 1 3
Direct
0.500 0.500 0.500 Ac
0.500 0.000 0.500 Ac
0.000 0.500 0.500 Ac
0.765 0.991 0.717 O
0.261 0.521 0.282 O
0.739 0.479 0.718 O
0.226 0.991 0.717 O
0.774 0.548 0.283 O
0.235 0.009 0.283 O
0.226 0.452 0.717 O
0.774 0.009 0.283 O
0.000 0.000 0.500 Cd
0.000 0.500 0.000 Na
0.000 0.000 0.000 Na
0.500 0.500 0.000 Na
```

Summary:
ΔE_f (raw): -2051 meV/atom
DOS(E_F): 6.332 states/eV/cell

[8]
Material: Sr2ZrPd2
Method: DFT, PBE
State: relaxed

```
Sr2ZrPd2
1.0
-1.884 -4.520 5.393
4.578 -5.027 -2.613
3.638 1.848 2.819
Pd Sr Zr
4 4 2
Direct
0.637 0.137 0.000 Pd
0.363 0.863 0.000 Pd
0.863 0.637 0.000 Pd
0.137 0.363 0.000 Pd
0.171 0.671 0.500 Sr
0.671 0.829 0.500 Sr
0.329 0.171 0.500 Sr
0.829 0.329 0.500 Sr
0.500 0.500 0.000 Zr
0.000 0.000 0.000 Zr
```

Summary:
energy relative to the elements: -0.318 eV/atom
DOS(E_F): 6.313 states/eV/cell

no.,mass density (g/cm³)
1,5.45
2,7.33
3,11.71
4,6.51
5,5.02
6,13.49
7,6.14
8,6.05